## K2LaCo2O6 (PBE with a Hubbard U)

Data for an optimized crystal structure of K2LaCo2O6.

Results
E	-5.878	eV/atom

a b c (Å): 6.1767 6.1767 18.2565
angles (deg): 90.00 90.00 120.00
Space group R-3m (No. 166, hexagonal axes)
Inequivalent atoms, fractional coordinates:
K 0.0000 0.0000 0.2094 [6 per cell]
La 0.0000 0.0000 0.0000 [3 per cell]
Co 0.0000 0.0000 0.4305 [6 per cell]
O 0.0098 0.5049 0.2489 [18 per cell]